[1]
This record from Alexandria via LeMat-Bulk describes ReHgBRuS after structural relaxation. The functional is PBE-GGA.

Cell lengths 4.3541, 3.3979, 6.1821 Å; angles 90.00, 90.46, 90.00 degrees
Last column: nearest neighbours and their distance in Å.
Atoms (fractional coordinates):
S 0.4026 0.5000 0.6807  2 Ru 2.26, 2 Re 2.33
Re 0.9010 0.5000 0.5452  2 B 2.11, 2 S 2.33
Hg 0.9059 0.0000 0.9772  1 B 2.26
B 0.8985 0.0000 0.3431  2 Re 2.11, 2 Ru 2.26, 1 Hg 2.26
Ru 0.3999 0.0000 0.4402  2 B 2.26, 2 S 2.26

## Properties
- E_form (uncorrected): 0.20 eV/atom
- Density of states at the Fermi level: 0.467 states/eV/atom

---

[2]
This record from Alexandria via LeMat-Bulk describes ReHgBRuS after structural relaxation. The functional is PBE-GGA.

Cell lengths 3.2052, 4.3389, 11.9844 Å; angles 90.00, 90.00, 90.00 degrees
Last column: nearest neighbours and their distance in Å.
Atoms (fractional coordinates):
B 0.0000 0.0000 0.8344  2 Ru 2.09, 2 Re 2.21
B 0.5000 0.5000 0.3344  2 Ru 2.09, 2 Re 2.21
Ru 0.5000 0.0000 0.7223  2 B 2.09, 2 S 2.31
Ru 0.0000 0.5000 0.2223  2 B 2.09, 2 S 2.31
S 0.5000 0.5000 0.6549  2 Ru 2.31, 2 Re 2.35
S 0.0000 0.0000 0.1549  2 Ru 2.31, 2 Re 2.35
Hg 0.0000 0.0000 0.4971  2 Re 2.87, 2 Ru 3.14, 2 Hg 3.21
Hg 0.5000 0.5000 0.9971  2 Re 2.87, 2 Ru 3.14, 2 Hg 3.21
Re 0.0000 0.5000 0.7982  2 B 2.21, 2 S 2.35
Re 0.5000 0.0000 0.2982  2 B 2.21, 2 S 2.35

## Properties
- E_form (uncorrected): 0.10 eV/atom
- Density of states at the Fermi level: 0.330 states/eV/atom

---

[3]
This record from Alexandria via LeMat-Bulk describes ReHgBRuS after structural relaxation. The functional is PBE-GGA.

Cell lengths 4.3010, 3.2134, 6.8625 Å; angles 90.00, 90.45, 90.00 degrees
Last column: nearest neighbours and their distance in Å.
Atoms (fractional coordinates):
S 0.4769 0.5000 0.3450  2 Ru 2.32, 2 Re 2.36
Re 0.4804 0.0000 0.5964  2 B 2.19-2.20, 2 S 2.36
Hg 0.4830 0.5000 0.9392  1 S 2.79, 2 Re 2.85
Ru 0.9787 0.5000 0.4724  2 B 2.06
B 0.9812 0.0000 0.6607  2 Ru 2.06, 2 Re 2.19-2.20

## Properties
- E_form (uncorrected): 0.14 eV/atom
- Density of states at the Fermi level: 0.251 states/eV/atom

---

Which value of density of states at the Fermi level does entry 1 give? 0.467 states/eV/atom